Entry 1:
K2LaCd: relaxed, GGA-PBE.

Structure (POSCAR):
```
K2LaCd
1.0
6.963 0.000 0.000
0.000 3.760 0.004
0.000 0.265 6.208
La K Cd
1 2 1
direct
0.500 0.250 0.250 La
0.000 0.971 0.985 K
0.000 0.529 0.515 K
0.500 0.750 0.750 Cd
```

Calculated values
ΔE_f ... 0.24 eV per atom
D(E_F) ... 3.55 states/eV per cell

---

Entry 2:
KLa3Cd: relaxed, GGA-PBE.

Structure (POSCAR):
```
KLa3Cd
1.0
-0.094 6.150 0.480
-4.281 -0.410 4.423
4.441 -0.265 4.274
La K Cd
3 1 1
direct
0.500 0.000 0.000 La
0.000 0.500 0.000 La
0.000 0.000 0.500 La
0.500 0.500 0.500 K
0.000 0.000 0.000 Cd
```

Calculated values
ΔE_f ... 0.38 eV per atom
D(E_F) ... 8.97 states/eV per cell

---

Entry 3:
KLa3Cd: relaxed, GGA-PBE.

Structure (POSCAR):
```
KLa3Cd
1.0
5.675 0.000 0.000
0.000 5.675 0.000
0.000 0.000 5.675
Cd La K
1 3 1
direct
0.500 0.500 0.500 Cd
0.000 0.000 0.500 La
0.500 0.000 0.000 La
0.000 0.500 0.000 La
0.000 0.000 0.000 K
```

Calculated values
ΔE_f ... 0.97 eV per atom
D(E_F) ... 11.16 states/eV per cell

---

Which value of D(E_F) does entry 2 give?
8.97 states/eV per cell

---

Which of these has the highest ΔE_f?
number 3

---

Which value of D(E_F) does entry 3 give?
11.16 states/eV per cell

---

Which of these has the highest ΔE_f?
number 3